Entry 1:
VASP calculation (PBE) on a geometry-optimized Pr2SnPN5 structure.

Calculated values
**Uncorrected formation energy**: -5.3 eV/f.u.
**Total magnetic moment**: 0.0 μB/f.u.
**Density**: 6.61 g/cm³

Cell lengths 3.235, 15.124, 10.302 Å; angles 90.00, 90.00, 90.00 degrees
Space group Cmc2_1 (No. 36)
Unique sites:
Pr 0.000 0.117 0.000
Pr 0.000 0.123 0.648
Sn 0.000 0.209 0.361
P 0.000 0.449 0.753
N 0.000 0.028 0.333
N 0.000 0.293 0.003
N 0.000 0.340 0.726
N 0.000 0.346 0.331
N 0.000 0.498 0.614

***

Entry 2:
VASP calculation (PBE) on a geometry-optimized TbPr3P2N6 structure.

Calculated values
**Uncorrected formation energy**: -13.5 eV/f.u.
**Total magnetic moment**: 0.0 μB/f.u.
**Density**: 6.52 g/cm³

Cell lengths 5.7669, 5.7669, 6.4323 Å; angles 90.00, 90.00, 120.00 degrees
Space group P-3m1 (No. 164)
Unique sites:
Tb 0.0000 0.0000 0.0000
Pr 0.0000 0.0000 0.5000
Pr 0.3333 0.6667 0.1500
P 0.3333 0.6667 0.6694
N 0.1818 0.3637 0.7837

***

Entry 3:
VASP calculation (PBE) on a geometry-optimized PrTc2PN structure.

Calculated values
**Uncorrected formation energy**: -4.1 eV/f.u.
**D(E_F)**: 0.67 states/eV/atom
**Total magnetic moment**: 0.0 μB/f.u.
**Density**: 8.17 g/cm³

Cell lengths 3.832, 11.173, 7.254 Å; angles 90.00, 90.00, 90.00 degrees
Space group Cmcm (No. 63)
Unique sites:
Pr 0.000 0.044 0.250
Tc 0.000 0.331 0.060
P 0.000 0.232 0.750
N 0.000 0.500 0.000

***

Entry 4:
VASP calculation (PBE) on a geometry-optimized Pr4Te2PN structure.

Calculated values
**Uncorrected formation energy**: -11.2 eV/f.u.
**D(E_F)**: 0.41 states/eV/atom
**Total magnetic moment**: 0.0 μB/f.u.
**Density**: 6.63 g/cm³

Cell lengths 7.153, 4.130, 7.698 Å; angles 90.00, 108.05, 90.00 degrees
Space group P2/m (No. 10)
Unique sites:
Pr 0.216 0.000 0.197
Pr 0.243 0.500 0.798
Te 0.000 0.000 0.500
Te 0.500 0.500 0.500
P 0.500 0.000 0.000
N 0.000 0.500 0.000